An optimized crystal structure of NdSi2O4, computed with PBE-GGA.

a = 6.4485 Å, b = 6.4485 Å, c = 6.4485 Å
α = 119.99°, β = 90.01°, γ = 119.99°
Last column: nearest neighbours and their distance in Å.
Atoms (fractional coordinates):
Nd 0.0000 0.0000 0.0000  4 O 2.26
Nd 0.7500 0.5000 0.2500  4 O 2.26
O 0.1795 0.7864 0.3931  3 Si 2.13, 1 Nd 2.26
O 0.6067 0.2136 0.3931  3 Si 2.13, 1 Nd 2.26
O 0.6069 0.7864 0.3933  3 Si 2.13, 1 Nd 2.26
O 0.1431 0.2864 0.4295  3 Si 2.13, 1 Nd 2.26
O 0.6069 0.2136 0.8205  3 Si 2.13, 1 Nd 2.26
O 0.1431 0.7136 0.8567  3 Si 2.13, 1 Nd 2.26
O 0.1433 0.2864 0.8569  3 Si 2.13, 1 Nd 2.26
O 0.5705 0.7136 0.8569  3 Si 2.13, 1 Nd 2.26
Si 0.3750 0.7500 0.1250  6 O 2.13
Si 0.8750 0.2500 0.6250  6 O 2.13
Si 0.3750 0.7500 0.6250  6 O 2.13
Si 0.3750 0.2500 0.6250  6 O 2.13

Properties
energy = -92.13 eV/cell
total magnetic moment = 0.01 μB per cell

---

An optimized crystal structure of TmCuSb, computed with PBE-GGA.

a = 4.8009 Å, b = 4.8009 Å, c = 4.8009 Å
α = 60.00°, β = 60.00°, γ = 60.00°
Last column: nearest neighbours and their distance in Å.
Atoms (fractional coordinates):
Cu 0.2500 0.2500 0.2500  4 Tm 2.94
Sb 0.7500 0.7500 0.7500  4 Tm 2.94
Tm 0.0000 0.0000 0.0000  4 Cu 2.94, 4 Sb 2.94

Properties
energy = -12.86 eV/cell
total magnetic moment = 0.00 μB per cell

---

An optimized crystal structure of CsErNiTe3, computed with PBE-GGA.

a = 8.9100 Å, b = 8.9100 Å, c = 9.9460 Å
α = 91.73°, β = 91.73°, γ = 29.83°
Last column: nearest neighbours and their distance in Å.
Atoms (fractional coordinates):
Cs 0.1571 0.1571 0.0790  7 Te 3.61-4.04
Cs 0.8429 0.8429 0.9210  7 Te 3.61-4.04
Er 0.8366 0.8366 0.4167  6 Te 2.91-3.12
Er 0.1634 0.1634 0.5833  6 Te 2.91-3.12
Ni 0.5044 0.5044 0.3662  4 Te 2.55-2.72, 1 Ni 2.67
Ni 0.4956 0.4956 0.6338  4 Te 2.55-2.72, 1 Ni 2.67
Te 0.5000 0.5000 0.0000  2 Te 3.09
Te 0.3791 0.3791 0.2231  1 Ni 2.55
Te 0.6624 0.6624 0.3700  1 Ni 2.72, 1 Er 3.02
Te 0.0000 0.0000 0.5000  4 Ni 2.65, 2 Er 2.91
Te 0.3376 0.3376 0.6300  1 Ni 2.72, 1 Er 3.02
Te 0.6209 0.6209 0.7769  1 Ni 2.55

Properties
total magnetic moment = 0.73 μB per cell
ΔE to the lowest computed polymorph = 1.10 eV per formula unit

---

An optimized crystal structure of TbGa2Hg, computed with PBE-GGA.

a = 4.7771 Å, b = 6.4391 Å, c = 6.4391 Å
α = 120.85°, β = 90.00°, γ = 90.00°
Last column: nearest neighbours and their distance in Å.
Atoms (fractional coordinates):
Ga 0.7500 0.8362 0.1430  3 Ga 2.91-2.92, 3 Hg 2.97-3.10, 3 Tb 3.09-3.11
Ga 0.7500 0.8400 0.6924  5 Ga 2.91-2.92, 1 Hg 3.01, 3 Tb 3.10-3.19
Ga 0.2500 0.1430 0.8362  3 Ga 2.91-2.92, 3 Hg 2.97-3.10, 3 Tb 3.09-3.11
Ga 0.2500 0.6924 0.8400  5 Ga 2.91-2.92, 1 Hg 3.01, 3 Tb 3.10-3.19
Hg 0.7500 0.3241 0.1553  4 Ga 2.97-3.10, 2 Hg 3.05, 4 Tb 3.07-3.30
Hg 0.2500 0.1553 0.3241  4 Ga 2.97-3.10, 2 Hg 3.05, 4 Tb 3.07-3.30
Tb 0.2500 0.6736 0.3355  4 Hg 3.07-3.30, 8 Ga 3.09-3.28
Tb 0.7500 0.3355 0.6736  4 Hg 3.07-3.30, 8 Ga 3.09-3.28

Properties
total magnetic moment = 0.00 μB per cell
ΔE to the lowest computed polymorph = 0.01 eV per formula unit

---

An optimized crystal structure of LiGaGePd, computed with PBE-GGA.

a = 4.4035 Å, b = 4.4035 Å, c = 4.4035 Å
α = 60.00°, β = 60.00°, γ = 60.00°
Last column: nearest neighbours and their distance in Å.
Atoms (fractional coordinates):
Ga 0.5000 0.5000 0.5000  4 Li 2.70, 4 Pd 2.70
Ge 0.0000 0.0000 0.0000  4 Li 2.70, 4 Pd 2.70
Li 0.7500 0.7500 0.7500  4 Ge 2.70, 4 Ga 2.70
Pd 0.2500 0.2500 0.2500  4 Ge 2.70, 4 Ga 2.70

Properties
ΔE to the lowest computed polymorph = 0.00 eV per formula unit

---

An optimized crystal structure of BaAg2GeSe2S2, computed with PBE-GGA.

a = 6.5183 Å, b = 6.5183 Å, c = 6.9221 Å
α = 121.99°, β = 121.99°, γ = 67.96°
Last column: nearest neighbours and their distance in Å.
Atoms (fractional coordinates):
Ag 0.6911 0.6874 0.1734  1 S 2.49, 1 Se 2.60
Ag 0.3126 0.3089 0.8266  1 S 2.49, 1 Se 2.60
Ba 0.0077 0.9923 0.0000  4 S 3.37-3.42, 4 Se 3.39-3.42
Ge 0.4887 0.5113 0.5000  2 S 2.25, 2 Se 2.40
S 0.1539 0.5276 0.1535  1 Ge 2.25, 1 Ag 2.49
S 0.4724 0.8461 0.8465  1 Ge 2.25, 1 Ag 2.49
Se 0.8485 0.4749 0.4652  1 Ge 2.40, 1 Ag 2.60
Se 0.5251 0.1515 0.5348  1 Ge 2.40, 1 Ag 2.60

Properties
ΔE to the lowest computed polymorph = 0.00 eV per formula unit

---

An optimized crystal structure of NaAgSnTe2Se, computed with PBE-GGA.

a = 7.0293 Å, b = 7.0293 Å, c = 11.4642 Å
α = 90.00°, β = 90.00°, γ = 144.67°
Last column: nearest neighbours and their distance in Å.
Atoms (fractional coordinates):
Ag 0.5787 0.4213 0.2500  2 Se 2.71, 2 Te 2.78
Ag 0.4213 0.5787 0.7500  2 Se 2.71, 2 Te 2.78
Na 0.2934 0.7066 0.2500  2 Se 3.03, 2 Te 3.23
Na 0.7066 0.2934 0.7500  2 Se 3.03, 2 Te 3.23
Se 0.9537 0.0463 0.2500  2 Ag 2.71, 2 Sn 2.93, 2 Na 3.03
Se 0.0463 0.9537 0.7500  2 Ag 2.71, 2 Sn 2.93, 2 Na 3.03
Sn 0.0000 0.0000 0.0000  2 Se 2.93, 4 Te 3.03
Sn 0.0000 0.0000 0.5000  2 Se 2.93, 4 Te 3.03
Te 0.6595 0.3405 0.0265  1 Ag 2.78, 2 Sn 3.03
Te 0.6595 0.3405 0.4735  1 Ag 2.78, 2 Sn 3.03
Te 0.3405 0.6595 0.5265  1 Ag 2.78, 2 Sn 3.03
Te 0.3405 0.6595 0.9735  1 Ag 2.78, 2 Sn 3.03

Properties
energy = -40.04 eV/cell

---

An optimized crystal structure of NaPaAsO, computed with PBE-GGA.

a = 4.4924 Å, b = 6.0198 Å, c = 6.2887 Å
α = 90.00°, β = 90.00°, γ = 90.00°
Last column: nearest neighbours and their distance in Å.
Atoms (fractional coordinates):
As 0.0000 0.2184 0.3672  2 Na 2.83, 3 Pa 2.90-3.14
As 0.0000 0.7816 0.8672  2 Na 2.83, 3 Pa 2.90-3.14
Na 0.5000 0.9449 0.0924  2 O 2.27-2.33
Na 0.5000 0.0551 0.5924  2 O 2.27-2.33
O 0.5000 0.7301 0.3899  2 Pa 2.26, 2 Na 2.27-2.33
O 0.5000 0.2699 0.8899  2 Pa 2.26, 2 Na 2.27-2.33
Pa 0.0000 0.6984 0.4045  2 O 2.26
Pa 0.0000 0.3016 0.9045  2 O 2.26

Properties
total magnetic moment = 2.00 μB per cell
ΔE to the lowest computed polymorph = 0.54 eV per formula unit

---

An optimized crystal structure of YAlInNi, computed with PBE-GGA.

a = 5.8733 Å, b = 5.8733 Å, c = 7.7307 Å
α = 111.94°, β = 111.94°, γ = 41.61°
Last column: nearest neighbours and their distance in Å.
Atoms (fractional coordinates):
Al 0.1551 0.1551 0.1398  3 Ni 2.41-2.45
Al 0.8449 0.8449 0.8602  3 Ni 2.41-2.45
In 0.8391 0.8391 0.4582  1 Ni 2.56
In 0.1609 0.1609 0.5418  1 Ni 2.56
Ni 0.7487 0.7487 0.0968  3 Al 2.41-2.45, 1 In 2.56, 2 Ni 2.57, 1 Y 2.65
Ni 0.2513 0.2513 0.9032  3 Al 2.41-2.45, 1 In 2.56, 2 Ni 2.57, 1 Y 2.65
Y 0.4683 0.4683 0.2200  1 Ni 2.65
Y 0.5317 0.5317 0.7800  1 Ni 2.65

Properties
energy = -40.72 eV/cell
total magnetic moment = 0.00 μB per cell

---

An optimized crystal structure of Sr2Ta2O5, computed with PBE-GGA.

a = 11.0181 Å, b = 3.4634 Å, c = 3.4634 Å
α = 90.00°, β = 90.00°, γ = 90.00°
Last column: nearest neighbours and their distance in Å.
Atoms (fractional coordinates):
O 0.1080 0.5000 0.0000  2 Ta 2.10, 2 Sr 2.32
O 0.8920 0.5000 0.0000  2 Ta 2.10, 2 Sr 2.32
O 0.1080 0.0000 0.5000  2 Ta 2.10, 2 Sr 2.32
O 0.8920 0.0000 0.5000  2 Ta 2.10, 2 Sr 2.32
O 0.5000 0.5000 0.5000  4 Ta 2.45
Sr 0.2482 0.5000 0.5000  4 O 2.32
Sr 0.7518 0.5000 0.5000  4 O 2.32
Ta 0.0000 0.0000 0.0000  8 O 2.10
Ta 0.5000 0.0000 0.0000  4 O 2.45

Properties
total magnetic moment = 0.00 μB per cell
ΔE to the lowest computed polymorph = 6.80 eV per formula unit

---

An optimized crystal structure of Pr2NdSi2, computed with PBE-GGA.

a = 7.8291 Å, b = 7.8291 Å, c = 4.3636 Å
α = 90.00°, β = 90.00°, γ = 90.00°
Last column: nearest neighbours and their distance in Å.
Atoms (fractional coordinates):
Nd 0.0000 0.0000 0.0000  4 Si 3.17
Nd 0.5000 0.5000 0.0000  4 Si 3.17
Pr 0.6770 0.1770 0.5000  6 Si 3.18-3.20
Pr 0.1770 0.3230 0.5000  6 Si 3.18-3.20
Pr 0.8230 0.6770 0.5000  6 Si 3.18-3.20
Pr 0.3230 0.8230 0.5000  6 Si 3.18-3.20
Si 0.3888 0.1112 0.0000  1 Si 2.46
Si 0.8888 0.3888 0.0000  1 Si 2.46
Si 0.1112 0.6112 0.0000  1 Si 2.46
Si 0.6112 0.8888 0.0000  1 Si 2.46

Properties
energy = -56.59 eV/cell
total magnetic moment = 0.41 μB per cell

---

An optimized crystal structure of ErScIn4Pd2, computed with PBE-GGA.

a = 7.3101 Å, b = 5.6774 Å, c = 5.6774 Å
α = 46.31°, β = 90.00°, γ = 90.00°
Last column: nearest neighbours and their distance in Å.
Atoms (fractional coordinates):
Er 0.0000 0.5744 0.5744  3 Pd 2.92-3.20, 4 In 3.19
In 0.2990 0.1364 0.1364  3 Pd 2.74-2.76, 2 In 2.91-2.94
In 0.7010 0.1364 0.1364  3 Pd 2.74-2.76, 2 In 2.91-2.94
In 0.2081 0.8655 0.8655  3 Pd 2.73-2.80, 2 In 2.91-3.04
In 0.7919 0.8655 0.8655  3 Pd 2.73-2.80, 2 In 2.91-3.04
Pd 0.0000 0.2943 0.2943  6 In 2.74-2.80, 1 Er 2.92
Pd 0.5000 0.7026 0.7026  6 In 2.73-2.76, 1 Sc 2.90
Sc 0.5000 0.4249 0.4249  3 Pd 2.90-3.22, 4 In 3.15

Properties
energy = -36.86 eV/cell
total magnetic moment = 0.04 μB per cell